# 1
## Np2Mn2As2C (GGA-PBE)

Data for an optimized crystal structure of Np2Mn2As2C.

a b c (Å): 3.9419 3.9419 7.7137
angles (deg): 104.80 104.80 90.00
Closest atoms and distances in Å follow each position.
Element x y z (fractional)
Np1 0.1718 0.1718 0.3436  1 C 2.47
Np2 0.8282 0.8282 0.6564  1 C 2.47
Mn1 0.0000 0.5000 0.0000  2 C 1.97
Mn2 0.5000 0.0000 0.0000  2 C 1.97
As1 0.3835 0.3835 0.7670  4 Mn 2.59
As2 0.6165 0.6165 0.2330  4 Mn 2.59
C1 0.0000 0.0000 0.0000  4 Mn 1.97

Computed properties:
- Density of states at the Fermi level: 12.53 states/eV/cell
- Total magnetic moment: 10.44 Bohr magnetons per cell
- DFT total energy: -9.2667 eV/atom
- Calculated volume: 111.8 Å³/f.u.

---

# 2
## V2Zn2Ag (GGA-PBE)

Data for an optimized crystal structure of V2Zn2Ag.

a b c (Å): 7.3233 7.3233 2.9622
angles (deg): 90.00 90.00 90.00
Closest atoms and distances in Å follow each position.
Element x y z (fractional)
Zn1 0.2018 0.7018 0.5000  6 V 2.60-2.73
Zn2 0.7018 0.7982 0.5000  6 V 2.60-2.73
Zn3 0.7982 0.2982 0.5000  6 V 2.60-2.73
Zn4 0.2982 0.2018 0.5000  6 V 2.60-2.73
Ag1 0.0000 0.0000 0.0000  2 Ag 2.96, 8 Zn 3.02, 4 V 3.06
Ag2 0.5000 0.5000 0.0000  2 Ag 2.96, 8 Zn 3.02, 4 V 3.06
V1 0.4077 0.9077 0.0000  1 V 1.91
V2 0.9077 0.5923 0.0000  1 V 1.91
V3 0.5923 0.0923 0.0000  1 V 1.91
V4 0.0923 0.4077 0.0000  1 V 1.91

Computed properties:
- Density of states at the Fermi level: 5.42 states/eV/cell
- Energy above the lowest structure with this stoichiometry: 0.00 kcal/mol of atoms
- Total magnetic moment: 0.00 Bohr magnetons per cell
- Calculated volume: 79.4 Å³/f.u.